{
  "formula": "Cs3SbO3",
  "functional": "PBEsol",
  "state": "optimized geometry",
  "cell": [[9.107, 0.000, 0.000], [0.000, 9.107, 0.000], [0.000, 0.000, 9.107]],
  "species": ["Cs", "Cs", "Cs", "Cs", "Cs", "Cs", "Cs", "Cs", "Cs", "Cs", "Cs", "Cs", "O", "O", "O", "O", "O", "O", "O", "O", "O", "O", "O", "O", "Sb", "Sb", "Sb", "Sb"],
  "fractional_positions": [[0.777, 0.777, 0.777], [0.723, 0.223, 0.277], [0.223, 0.277, 0.723], [0.277, 0.723, 0.223], [0.273, 0.273, 0.273], [0.227, 0.727, 0.773], [0.727, 0.773, 0.227], [0.773, 0.227, 0.727], [0.016, 0.016, 0.016], [0.484, 0.984, 0.516], [0.984, 0.516, 0.484], [0.516, 0.484, 0.984], [0.005, 0.209, 0.462], [0.495, 0.791, 0.962], [0.995, 0.709, 0.038], [0.505, 0.291, 0.538], [0.462, 0.005, 0.209], [0.962, 0.495, 0.791], [0.038, 0.995, 0.709], [0.538, 0.505, 0.291], [0.209, 0.462, 0.005], [0.791, 0.962, 0.495], [0.709, 0.038, 0.995], [0.291, 0.538, 0.505], [0.503, 0.503, 0.503], [0.997, 0.497, 0.003], [0.497, 0.003, 0.997], [0.003, 0.997, 0.497]],
  "raw_formation_energy_ev_per_atom": -1.5136,
  "crystal_system": "cubic",
  "total_magnetization_mub_per_cell": 0.00,
  "space_group": "P2_13"
}